Sm2Si2BIr2 | PBE-GGA | relaxed

Electronic total energy ... -51.28 eV per formula unit
Magnetic moment ... 0.0 μB/f.u.
Density ... 10.0 g/cm³

Geometry as POSCAR:
```
Sm2Si2BIr2
1.0
5.524 -2.078 0.000
5.524 2.078 0.000
-4.503 0.000 5.468
Sm Si B Ir
2 2 1 2
direct
0.069 0.069 0.332
0.931 0.931 0.668
0.348 0.348 0.895
0.652 0.652 0.105
0.500 0.500 0.500
0.289 0.289 0.179
0.711 0.711 0.821
```